# 1
This record from Alexandria describes a geometry-optimized EuCu4Ge structure. The functional is GGA-PBE.

Values from the calculation:
* crystal system: cubic
* VASP energy: -128.14 eV for the cell shown

Cell: 7.2436 7.2436 7.2436 Å, 90.00 90.00 90.00°
Closest atoms and distances in Å follow each position.
Space group F-43m (No. 216)
Inequivalent atoms, fractional coordinates:
Eu (0.0000, 0.0000, 0.0000) (multiplicity 4)  12 Cu 3.00, 4 Ge 3.14
Cu (0.1244, 0.1244, 0.6244) (multiplicity 16)  6 Cu 2.55-2.57
Ge (0.2500, 0.2500, 0.2500) (multiplicity 4)  12 Cu 3.00, 4 Eu 3.14


# 2
This record from Alexandria describes a geometry-optimized SbAs2PdBr structure. The functional is GGA-PBE.

Values from the calculation:
* crystal system: tetragonal
* energy relative to the elements, uncorrected: 0.4322 eV/atom
* E above lowest polymorph: 0 meV/atom
* VASP energy: -18.13 eV for the cell shown

Cell: 4.9578 4.9578 5.0159 Å, 90.00 90.00 90.00°
Closest atoms and distances in Å follow each position.
Space group P4/mmm (No. 123)
Inequivalent atoms, fractional coordinates:
Sb (0.0000, 0.0000, 0.0000) (multiplicity 1)  4 Br 3.51, 8 As 3.53
As (0.0000, 0.5000, 0.5000) (multiplicity 2)  2 Pd 2.48
Pd (0.5000, 0.5000, 0.5000) (multiplicity 1)  4 As 2.48, 2 Br 2.51
Br (0.5000, 0.5000, 0.0000) (multiplicity 1)  2 Pd 2.51